# 1
# ErAg4Pb, optimized geometry, DFT PBE
data_ErAg4Pb
_symmetry_space_group_name_H-M 'P 6/m m m'
_symmetry_Int_Tables_number 191
_symmetry_space_group_name_Hall '-P 6 2'
_cell_length_a 4.8814
_cell_length_b 4.8814
_cell_length_c 6.3090
_cell_angle_alpha 90.00
_cell_angle_beta 90.00
_cell_angle_gamma 120.00
loop_
_atom_site_label
_atom_site_type_symbol
_atom_site_fract_x
_atom_site_fract_y
_atom_site_fract_z
_atom_site_occupancy
Er1 Er 0.0000 0.0000 0.0000 1
Ag1 Ag 0.3333 0.6667 0.2374 1
Pb1 Pb 0.0000 0.0000 0.5000 1
# Total moment: 0.00 μB/f.u.
# DFT total energy: -3.414 eV per atom

=====

# 2
# ErAg2Pb, optimized geometry, DFT PBE
data_ErAg2Pb
_symmetry_space_group_name_H-M 'P 4/m m m'
_symmetry_Int_Tables_number 123
_symmetry_space_group_name_Hall '-P 4 2'
_cell_length_a 4.508
_cell_length_b 4.508
_cell_length_c 4.511
_cell_angle_alpha 90.00
_cell_angle_beta 90.00
_cell_angle_gamma 90.00
loop_
_atom_site_label
_atom_site_type_symbol
_atom_site_fract_x
_atom_site_fract_y
_atom_site_fract_z
_atom_site_occupancy
Er1 Er 0.000 0.000 0.000 1
Ag1 Ag 0.000 0.500 0.500 1
Pb1 Pb 0.500 0.500 0.000 1
# Total moment: 0.00 μB/f.u.
# DFT total energy: -3.689 eV per atom

=====

# 3
# PrErAgPb, optimized geometry, DFT PBE
data_PrErAgPb
_symmetry_space_group_name_H-M 'F -4 3 m'
_symmetry_Int_Tables_number 216
_symmetry_space_group_name_Hall 'F -4 2 3'
_cell_length_a 7.593
_cell_length_b 7.593
_cell_length_c 7.593
_cell_angle_alpha 90.00
_cell_angle_beta 90.00
_cell_angle_gamma 90.00
loop_
_atom_site_label
_atom_site_type_symbol
_atom_site_fract_x
_atom_site_fract_y
_atom_site_fract_z
_atom_site_occupancy
Pr1 Pr 0.000 0.000 0.000 1
Er1 Er 0.000 0.000 0.500 1
Ag1 Ag 0.250 0.250 0.250 1
Pb1 Pb 0.250 0.250 0.750 1
# Total moment: 0.66 μB/f.u.
# DFT total energy: -4.362 eV per atom

=====

# 4
# ErAgPtPb, optimized geometry, DFT PBE
data_ErAgPtPb
_symmetry_space_group_name_H-M 'F -4 3 m'
_symmetry_Int_Tables_number 216
_symmetry_space_group_name_Hall 'F -4 2 3'
_cell_length_a 6.996
_cell_length_b 6.996
_cell_length_c 6.996
_cell_angle_alpha 90.00
_cell_angle_beta 90.00
_cell_angle_gamma 90.00
loop_
_atom_site_label
_atom_site_type_symbol
_atom_site_fract_x
_atom_site_fract_y
_atom_site_fract_z
_atom_site_occupancy
Er1 Er 0.000 0.000 0.000 1
Ag1 Ag 0.250 0.250 0.250 1
Pt1 Pt 0.250 0.250 0.750 1
Pb1 Pb 0.000 0.000 0.500 1
# Total moment: 0.00 μB/f.u.
# DFT total energy: -4.809 eV per atom

=====

# 5
# ErAgRhPb, optimized geometry, DFT PBE
data_ErAgRhPb
_symmetry_space_group_name_H-M 'F -4 3 m'
_symmetry_Int_Tables_number 216
_symmetry_space_group_name_Hall 'F -4 2 3'
_cell_length_a 6.901
_cell_length_b 6.901
_cell_length_c 6.901
_cell_angle_alpha 90.00
_cell_angle_beta 90.00
_cell_angle_gamma 90.00
loop_
_atom_site_label
_atom_site_type_symbol
_atom_site_fract_x
_atom_site_fract_y
_atom_site_fract_z
_atom_site_occupancy
Er1 Er 0.000 0.000 0.000 1
Ag1 Ag 0.250 0.250 0.250 1
Rh1 Rh 0.250 0.250 0.750 1
Pb1 Pb 0.000 0.000 0.500 1
# Total moment: 0.00 μB/f.u.
# DFT total energy: -4.966 eV per atom

=====

# 6
# ErAg2PbS4, optimized geometry, DFT PBE
data_ErAg2PbS4
_symmetry_space_group_name_H-M 'P 1 2/m 1'
_symmetry_Int_Tables_number 10
_cell_length_a 6.613
_cell_length_b 3.997
_cell_length_c 6.979
_cell_angle_alpha 90.00
_cell_angle_beta 110.06
_cell_angle_gamma 90.00
loop_
_symmetry_equiv_pos_as_xyz
'x,y,z'
'-x,-y,-z'
'-x,y,-z'
'x,-y,z'
loop_
_atom_site_label
_atom_site_type_symbol
_atom_site_fract_x
_atom_site_fract_y
_atom_site_fract_z
_atom_site_occupancy
Er1 Er 0.000 0.000 0.000 1
Ag1 Ag 0.500 0.000 0.500 1
Ag2 Ag 0.500 0.500 0.000 1
Pb1 Pb 0.000 0.500 0.500 1
S1 S 0.247 0.500 0.236 1
S2 S 0.259 0.000 0.764 1
# Uncorrected formation energy: -70 kJ/mol of atoms
# Total moment: 0.00 μB/f.u.

=====

# 7
# ErScAgPb, optimized geometry, DFT PBE
data_ErScAgPb
_symmetry_space_group_name_H-M 'F -4 3 m'
_symmetry_Int_Tables_number 216
_symmetry_space_group_name_Hall 'F -4 2 3'
_cell_length_a 7.250
_cell_length_b 7.250
_cell_length_c 7.250
_cell_angle_alpha 90.00
_cell_angle_beta 90.00
_cell_angle_gamma 90.00
loop_
_atom_site_label
_atom_site_type_symbol
_atom_site_fract_x
_atom_site_fract_y
_atom_site_fract_z
_atom_site_occupancy
Er1 Er 0.000 0.000 0.000 1
Sc1 Sc 0.000 0.000 0.500 1
Ag1 Ag 0.250 0.250 0.750 1
Pb1 Pb 0.250 0.250 0.250 1
# Total moment: 0.80 μB/f.u.
# DFT total energy: -4.708 eV per atom

=====

# 8
# ErAgPb2Se4, optimized geometry, DFT PBE
data_ErAgPb2Se4
_symmetry_space_group_name_H-M 'P 1 2/m 1'
_symmetry_Int_Tables_number 10
_cell_length_a 7.272
_cell_length_b 4.214
_cell_length_c 7.429
_cell_angle_alpha 90.00
_cell_angle_beta 109.37
_cell_angle_gamma 90.00
loop_
_symmetry_equiv_pos_as_xyz
'x,y,z'
'-x,-y,-z'
'-x,y,-z'
'x,-y,z'
loop_
_atom_site_label
_atom_site_type_symbol
_atom_site_fract_x
_atom_site_fract_y
_atom_site_fract_z
_atom_site_occupancy
Er1 Er 0.000 0.000 0.000 1
Ag1 Ag 0.500 0.500 0.000 1
Pb1 Pb 0.000 0.500 0.500 1
Pb2 Pb 0.500 0.000 0.500 1
Se1 Se 0.236 0.500 0.228 1
Se2 Se 0.254 0.000 0.775 1
# Uncorrected formation energy: -80 kJ/mol of atoms
# Total moment: 0.00 μB/f.u.

=====

# 9
# SmErAgPb, optimized geometry, DFT PBE
data_SmErAgPb
_symmetry_space_group_name_H-M 'F -4 3 m'
_symmetry_Int_Tables_number 216
_symmetry_space_group_name_Hall 'F -4 2 3'
_cell_length_a 7.515
_cell_length_b 7.515
_cell_length_c 7.515
_cell_angle_alpha 90.00
_cell_angle_beta 90.00
_cell_angle_gamma 90.00
loop_
_atom_site_label
_atom_site_type_symbol
_atom_site_fract_x
_atom_site_fract_y
_atom_site_fract_z
_atom_site_occupancy
Sm1 Sm 0.000 0.000 0.000 1
Er1 Er 0.000 0.000 0.500 1
Ag1 Ag 0.250 0.250 0.750 1
Pb1 Pb 0.250 0.250 0.250 1
# Total moment: 0.68 μB/f.u.
# DFT total energy: -4.351 eV per atom

=====

# 10
# TbErAgPb, optimized geometry, DFT PBE
data_TbErAgPb
_symmetry_space_group_name_H-M 'F -4 3 m'
_symmetry_Int_Tables_number 216
_symmetry_space_group_name_Hall 'F -4 2 3'
_cell_length_a 7.455
_cell_length_b 7.455
_cell_length_c 7.455
_cell_angle_alpha 90.00
_cell_angle_beta 90.00
_cell_angle_gamma 90.00
loop_
_atom_site_label
_atom_site_type_symbol
_atom_site_fract_x
_atom_site_fract_y
_atom_site_fract_z
_atom_site_occupancy
Tb1 Tb 0.000 0.000 0.000 1
Er1 Er 0.000 0.000 0.500 1
Ag1 Ag 0.250 0.250 0.750 1
Pb1 Pb 0.250 0.250 0.250 1
# Total moment: 0.60 μB/f.u.
# DFT total energy: -4.323 eV per atom

=====

# 11
# Er3AgTe8Pb3, optimized geometry, DFT PBE
data_Er3AgTe8Pb3
_symmetry_space_group_name_H-M 'R -3 m'
_symmetry_Int_Tables_number 166
_symmetry_space_group_name_Hall '-R 3 2"'
_cell_length_a 8.8231
_cell_length_b 8.8231
_cell_length_c 22.5100
_cell_angle_alpha 90.00
_cell_angle_beta 90.00
_cell_angle_gamma 120.00
loop_
_atom_site_label
_atom_site_type_symbol
_atom_site_fract_x
_atom_site_fract_y
_atom_site_fract_z
_atom_site_occupancy
Er1 Er 0.0000 0.5000 0.0000 1
Ag1 Ag 0.0000 0.0000 0.0000 1
Te1 Te 0.0000 0.0000 0.2555 1
Te2 Te 0.0045 0.5022 0.2568 1
Pb1 Pb 0.0000 0.5000 0.5000 1
# Uncorrected formation energy: -72 kJ/mol of atoms
# Total moment: 0.00 μB/f.u.

=====

# 12
# ErAgTe3Pb, optimized geometry, DFT PBE
data_ErAgTe3Pb
_symmetry_space_group_name_H-M 'P 1 21/m 1'
_symmetry_Int_Tables_number 11
_cell_length_a 8.875
_cell_length_b 4.361
_cell_length_c 9.975
_cell_angle_alpha 90.00
_cell_angle_beta 104.50
_cell_angle_gamma 90.00
loop_
_symmetry_equiv_pos_as_xyz
'x,y,z'
'-x,-y,-z'
'-x,y+1/2,-z'
'x,-y+1/2,z'
loop_
_atom_site_label
_atom_site_type_symbol
_atom_site_fract_x
_atom_site_fract_y
_atom_site_fract_z
_atom_site_occupancy
Er1 Er 0.179 0.250 0.172 1
Ag1 Ag 0.417 0.750 0.414 1
Te1 Te 0.071 0.250 0.850 1
Te2 Te 0.237 0.250 0.487 1
Te3 Te 0.406 0.750 0.128 1
Pb1 Pb 0.304 0.750 0.749 1
# Uncorrected formation energy: -69 kJ/mol of atoms
# Total moment: 0.00 μB/f.u.